This record from Alexandria describes CrNO after structural relaxation. The functional is PBE with a Hubbard U.

Calculated values
**Total magnetization**: 1.00 μB/cell
**Relative energy among the computed polymorphs**: 810 meV per atom
**Calculated total energy**: -0.5193 Ry per atom
**SG**: No. 123
**Volume**: 10.35 Å³ per atom
**Mass density**: 4.39 Mg/m³

Lattice parameters (Å, degrees): 2.9115 2.9115 3.6624 90.00 90.00 90.00
Last column: nearest neighbours and their distance in Å.
Fractional positions:
Cr 0.0000 0.0000 0.0000  2 O 1.83
N 0.5000 0.5000 0.0000  4 Cr 2.06
O 0.0000 0.0000 0.5000  2 Cr 1.83